# Sr2NiHg2

An optimized crystal structure of Sr2NiHg2 (PBE, Alexandria via LeMat-Bulk).

## Properties
- VASP energy: -20.78 eV for the cell shown

Cell: 7.6066 7.6066 4.9341 Å, 90.00 90.00 90.00°
With the nearest neighbours (Å) after each atom.
Atoms (fractional coordinates):
Sr  0.1757  0.3243  0.0000  6 Hg 3.16-3.46
Sr  0.3243  0.8243  0.0000  6 Hg 3.16-3.46
Sr  0.6757  0.1757  0.0000  6 Hg 3.16-3.46
Sr  0.8243  0.6757  0.0000  6 Hg 3.16-3.46
Ni  0.0000  0.0000  0.5000  4 Hg 2.93
Ni  0.5000  0.5000  0.5000  4 Hg 2.93
Hg  0.1414  0.6414  0.5000  2 Ni 2.93, 1 Hg 3.04, 2 Sr 3.16
Hg  0.3586  0.1414  0.5000  2 Ni 2.93, 1 Hg 3.04, 2 Sr 3.16
Hg  0.6414  0.8586  0.5000  2 Ni 2.93, 1 Hg 3.04, 2 Sr 3.16
Hg  0.8586  0.3586  0.5000  2 Ni 2.93, 1 Hg 3.04, 2 Sr 3.16